1.
Entry from Alexandria: Y2MnZnCo after structural relaxation (GGA-PBE).

```
Y2MnZnCo
1.0
-3.346 -0.218 -3.689
-2.605 -2.829 2.530
-2.387 3.926 1.933
Y Zn Mn Co
2 1 1 1
Direct
0.000 0.000 0.500
0.500 0.000 0.000
0.000 0.500 0.000
0.000 0.000 0.000
0.500 0.500 0.500
```

Summary:
* total moment: 1.1 μB/f.u.
* crystal system: tetragonal
* energy of formation: 3.3 eV/f.u.
* calculated density: 5.184 g/cm³


2.
Entry from Alexandria: Tb3Hg2BRh3 after structural relaxation (GGA-PBE).

```
Tb3Hg2BRh3
1.0
-0.495 3.325 0.951
-7.239 -0.415 -2.317
1.808 -1.783 7.176
Tb Hg B Rh
3 2 1 3
Direct
0.000 0.000 0.353
0.000 0.647 0.647
0.000 0.353 0.000
0.500 0.333 0.667
0.500 0.667 0.333
0.000 0.000 0.000
0.500 0.790 0.000
0.500 0.210 0.210
0.500 0.000 0.790
```

Summary:
* total moment: 0.0 μB/f.u.
* crystal system: hexagonal
* energy of formation: -5.1 eV/f.u.
* calculated density: 11.342 g/cm³


3.
Entry from Alexandria: Cs2NpIrO6 after structural relaxation (GGA-PBE).

```
Cs2NpIrO6
1.0
-0.480 -5.160 -2.604
5.629 -1.010 0.964
1.252 -5.555 4.315
Cs Np Ir O
2 1 1 6
Direct
0.750 0.250 0.500
0.250 0.750 0.500
0.000 0.000 0.000
0.500 0.500 0.000
0.161 0.161 0.679
0.733 0.733 0.000
0.267 0.733 0.000
0.733 0.267 0.000
0.267 0.267 0.000
0.839 0.839 0.321
```

Summary:
* total moment: 2.9 μB/f.u.
* crystal system: tetragonal
* E_form (uncorrected): -1876 meV per atom
* calculated density: 6.676 g/cm³


4.
Entry from Alexandria: PrErGaSn after structural relaxation (GGA-PBE).

```
PrErGaSn
1.0
-0.159 2.784 4.511
0.767 -2.436 4.648
4.457 0.863 2.742
Pr Sn Ga Er
1 1 1 1
Direct
0.750 0.750 0.750
0.000 0.000 0.000
0.500 0.500 0.500
0.250 0.250 0.250
```

Summary:
* total moment: 0.0 μB/f.u.
* crystal system: cubic
* energy of formation: -2.1 eV/f.u.
* calculated density: 7.817 g/cm³


5.
Entry from Alexandria: BeNi2H after structural relaxation (GGA-PBE).

```
BeNi2H
1.0
2.526 -0.007 0.004
1.257 2.191 0.004
1.270 0.733 5.711
Be Ni H
1 2 1
Direct
0.502 0.502 0.500
0.066 0.066 0.804
0.266 0.266 0.196
0.666 0.666 0.000
```

Summary:
* final energy: -4.83 eV per atom
* total moment: 0.0 μB/f.u.
* crystal system: monoclinic
* calculated density: 6.687 g/cm³


6.
Entry from Alexandria: Ba2LiReN4 after structural relaxation (GGA-PBE).

```
Ba2LiReN4
1.0
-4.689 1.120 0.299
-3.299 -4.283 3.321
-0.579 5.709 8.544
Ba Li Re N
4 2 2 8
Direct
0.173 0.000 0.654
0.827 0.000 0.346
0.577 0.500 0.846
0.923 0.500 0.154
0.750 0.500 0.500
0.000 0.000 0.000
0.250 0.500 0.500
0.500 0.000 0.000
0.315 0.814 0.100
0.228 0.186 0.900
0.871 0.814 0.900
0.585 0.186 0.100
0.435 0.686 0.400
0.522 0.314 0.600
0.879 0.686 0.600
0.165 0.314 0.400
```

Summary:
* total moment: 0.0 μB/f.u.
* crystal system: orthorhombic
* E_form (uncorrected): -605 meV per atom
* calculated density: 6.136 g/cm³


Which formula does entry 1 have? Y2MnZnCo